(1)
The following is a GGA-PBE calculation of Ce2NdHo3P6 after structural relaxation, from Alexandria.

```
12
Lattice="7.0174 -0.0009 0.0009 -3.5077 6.0778 0.0009 -1.1704 -2.0265 6.5958" Properties=species:S:1:pos:R:3 pbc="T T T"
Ho 4.6883 -0.0070 3.2988
P 2.3227 4.0217 1.6933
P 0.0165 0.0286 4.9042
Nd 0.0000 0.0000 0.0000
P -0.0340 4.0505 4.9103
Ho 1.1696 2.0252 3.2988
Ho -2.3490 4.0573 3.2988
Ce 3.5117 2.0238 0.0009
P -1.1862 2.0556 1.6873
P 2.3733 -0.0001 1.6873
Ce -0.0020 4.0531 0.0009
P 3.5254 1.9948 4.9103
```

Calculated values
Formation energy = -1.57 eV/atom
Fermi-level density of states = 10.08 states/eV/cell
SG = No. 12

---

(2)
The following is a GGA-PBE calculation of Tl2HgS after structural relaxation, from Alexandria.

```
4
Lattice="4.2125 0.0001 0.0001 2.1063 3.6480 0.0001 2.1064 1.2161 8.6474" Properties=species:S:1:pos:R:3 pbc="T T T"
Tl 2.1065 1.2162 1.6672
Tl 2.1063 1.2161 6.9821
Hg 4.2126 2.4321 4.3255
S 6.3189 3.6482 8.6439
```

Calculated values
E_form (uncorrected) = -0.248 eV per atom
Fermi-level density of states = 0.06 states/eV/cell
Relative energy among the computed polymorphs = 0 meV per atom
SG = No. 160

---

(3)
The following is a GGA-PBE calculation of Y2PPb after structural relaxation, from Alexandria.

```
4
Lattice="-1.8357 1.8792 7.9150 1.8357 -1.8792 7.9150 1.8357 1.8792 -7.9150" Properties=species:S:1:pos:R:3 pbc="T T T"
P 0.0000 0.0000 7.2168
Y 0.0000 0.0000 0.4158
Pb 0.0000 1.8792 3.0913
Y 1.8357 0.0000 5.1060
```

Calculated values
Formation energy = -0.85 eV/atom
Fermi-level density of states = 2.75 states/eV/cell
Relative energy among the computed polymorphs = 239 meV per atom
SG = No. 44

---

(4)
The following is a GGA-PBE calculation of Pa2SnPd after structural relaxation, from Alexandria.

```
4
Lattice="-1.0264 -5.0123 -0.7904 2.3660 -3.6090 2.8597 -2.6833 -2.6797 3.5242" Properties=species:S:1:pos:R:3 pbc="T T T"
Pa -0.3359 -2.8252 1.3984
Sn -0.6718 -5.6505 2.7968
Pa -1.0078 -8.4757 4.1951
Pd 0.0000 0.0000 0.0000
```

Calculated values
Formation energy = -0.05 eV/atom
Fermi-level density of states = 10.74 states/eV/cell
SG = No. 225